Here is a relaxed BaTaIr2 crystal from the Alexandria database. Energies are from PBE.

## Properties
The magnetic moment is 0.0 μB/f.u. Its density of states at the Fermi level is 8.06 states/eV/cell. The formation energy comes out at 168 kJ/mol of formula units. The energy above the most stable polymorph in this dataset comes out at 2.61 eV per formula unit.

Unit cell a=3.038 b=5.156 c=10.780 alpha=90.00 beta=90.00 gamma=90.00
Space group Imm2 (No. 44)
Symmetry-distinct sites (fractional):
Ba (0.000, 0.000, 0.000) [2 per cell]
Ta (0.000, 0.500, 0.206) [2 per cell]
Ir (0.000, 0.000, 0.512) [2 per cell]
Ir (0.000, 0.500, 0.782) [2 per cell]